[1]
Here is crystalline PdSe at its relaxed geometry from OQMD. Energies are from PBE.

Lattice parameters (Å, degrees): 4.164 4.164 17.406 90.00 90.00 119.23
Positions (direct):
Pd (0.078, 0.922, 0.750)
Pd (0.150, 0.850, 0.113)
Pd (0.150, 0.850, 0.387)
Pd (0.850, 0.150, 0.613)
Pd (0.850, 0.150, 0.887)
Pd (0.922, 0.078, 0.250)
Se (0.261, 0.739, 0.250)
Se (0.489, 0.511, 0.069)
Se (0.489, 0.511, 0.431)
Se (0.511, 0.489, 0.569)
Se (0.511, 0.489, 0.931)
Se (0.739, 0.261, 0.750)

Values from the calculation:
Its space group is No. 63. As for the total energy: -4.415 eV per atom. The calculated density comes out at 7.01 g cm⁻³.


[2]
Here is crystalline PdSe2 at its relaxed geometry from OQMD. Energies are from PBE.

Lattice parameters (Å, degrees): 5.711 5.711 4.035 90.00 90.00 90.00
Positions (direct):
Pd (0.000, 0.000, 0.000)
Pd (0.500, 0.500, 0.500)
Se (0.189, 0.189, 0.500)
Se (0.311, 0.689, 0.000)
Se (0.689, 0.311, 0.000)
Se (0.811, 0.811, 0.500)

Values from the calculation:
Its space group is No. 136. As for the total energy: -4.083 eV per atom. The calculated density comes out at 6.67 g cm⁻³.


[3]
Here is crystalline PdSe2 at its relaxed geometry from OQMD. Energies are from PBE.

Lattice parameters (Å, degrees): 4.322 4.322 7.389 90.00 90.00 120.21
Positions (direct):
Pd (0.166, 0.834, 0.750)
Pd (0.834, 0.166, 0.250)
Se (0.166, 0.834, 0.250)
Se (0.500, 0.500, 0.000)
Se (0.500, 0.500, 0.500)
Se (0.834, 0.166, 0.750)

Values from the calculation:
Its space group is No. 63. As for the total energy: -3.791 eV per atom. The calculated density comes out at 7.36 g cm⁻³.


[4]
Here is crystalline PdSe2 at its relaxed geometry from OQMD. Energies are from PBE.

Lattice parameters (Å, degrees): 5.119 6.215 3.944 90.00 90.00 90.00
Positions (direct):
Pd (0.000, 0.000, 0.000)
Pd (0.500, 0.500, 0.500)
Se (0.194, 0.385, 0.000)
Se (0.306, 0.885, 0.500)
Se (0.694, 0.115, 0.500)
Se (0.806, 0.615, 0.000)

Values from the calculation:
Its space group is No. 58. As for the total energy: -4.309 eV per atom. The calculated density comes out at 7.00 g cm⁻³.


[5]
Here is crystalline PdSe2 at its relaxed geometry from OQMD. Energies are from PBE.

Lattice parameters (Å, degrees): 5.530 5.530 5.530 60.00 60.00 60.00
Positions (direct):
Pd (0.125, 0.125, 0.125)
Pd (0.875, 0.875, 0.875)
Se (0.000, 0.500, 0.500)
Se (0.500, 0.000, 0.500)
Se (0.500, 0.500, 0.000)
Se (0.500, 0.500, 0.500)

Values from the calculation:
Its space group is No. 227. As for the total energy: -3.362 eV per atom. The calculated density comes out at 7.34 g cm⁻³.


[6]
Here is crystalline PdSe2 at its relaxed geometry from OQMD. Energies are from PBE.

Lattice parameters (Å, degrees): 5.020 7.275 6.893 90.00 90.00 90.00
Positions (direct):
Pd (0.000, 0.144, 0.250)
Pd (0.000, 0.856, 0.750)
Pd (0.500, 0.356, 0.750)
Pd (0.500, 0.644, 0.250)
Se (0.205, 0.410, 0.053)
Se (0.205, 0.590, 0.553)
Se (0.295, 0.090, 0.553)
Se (0.295, 0.910, 0.053)
Se (0.705, 0.090, 0.947)
Se (0.705, 0.910, 0.447)
Se (0.795, 0.410, 0.447)
Se (0.795, 0.590, 0.947)

Values from the calculation:
Its space group is No. 60. As for the total energy: -4.266 eV per atom. The calculated density comes out at 6.97 g cm⁻³.


[7]
Here is crystalline Pd8Se at its relaxed geometry from OQMD. Energies are from PBE.

Lattice parameters (Å, degrees): 8.810 8.810 2.681 90.00 90.00 120.00
Positions (direct):
Pd (0.170, 0.339, 0.000)
Pd (0.170, 0.830, 0.000)
Pd (0.333, 0.667, 0.000)
Pd (0.339, 0.170, 0.000)
Pd (0.661, 0.830, 0.000)
Pd (0.667, 0.333, 0.000)
Pd (0.830, 0.170, 0.000)
Pd (0.830, 0.661, 0.000)
Se (0.000, 0.000, 0.500)

Values from the calculation:
Its space group is No. 191. As for the total energy: -4.365 eV per atom. The calculated density comes out at 8.57 g cm⁻³.


[8]
Here is crystalline PdSe2 at its relaxed geometry from OQMD. Energies are from PBE.

Lattice parameters (Å, degrees): 6.580 3.766 10.321 90.00 90.00 90.00
Positions (direct):
Pd (0.250, 0.250, 0.000)
Pd (0.250, 0.750, 0.500)
Pd (0.750, 0.250, 0.500)
Pd (0.750, 0.750, 0.000)
Se (0.079, 0.250, 0.374)
Se (0.080, 0.750, 0.126)
Se (0.420, 0.250, 0.626)
Se (0.421, 0.750, 0.874)
Se (0.579, 0.250, 0.126)
Se (0.580, 0.750, 0.374)
Se (0.920, 0.250, 0.874)
Se (0.921, 0.750, 0.626)

Values from the calculation:
Its space group is No. 62. As for the total energy: -4.306 eV per atom. The calculated density comes out at 6.87 g cm⁻³.


[9]
Here is crystalline Pd8Se at its relaxed geometry from OQMD. Energies are from PBE.

Lattice parameters (Å, degrees): 7.545 7.545 2.850 90.00 90.00 120.00
Positions (direct):
Pd (0.000, 0.289, 0.000)
Pd (0.000, 0.633, 0.500)
Pd (0.289, 0.000, 0.000)
Pd (0.333, 0.667, 0.000)
Pd (0.367, 0.367, 0.500)
Pd (0.633, 0.000, 0.500)
Pd (0.667, 0.333, 0.000)
Pd (0.711, 0.711, 0.000)
Se (0.000, 0.000, 0.500)

Values from the calculation:
Its space group is No. 189. As for the total energy: -4.989 eV per atom. The calculated density comes out at 11.00 g cm⁻³.


[10]
Here is crystalline PdSe at its relaxed geometry from OQMD. Energies are from PBE.

Lattice parameters (Å, degrees): 3.449 3.449 3.536 90.00 90.00 120.00
Positions (direct):
Pd (0.000, 0.000, 0.000)
Se (0.667, 0.333, 0.500)

Values from the calculation:
Its space group is No. 187. As for the total energy: -4.422 eV per atom. The calculated density comes out at 8.45 g cm⁻³.


[11]
Here is crystalline PdSe2 at its relaxed geometry from OQMD. Energies are from PBE.

Lattice parameters (Å, degrees): 3.594 3.594 9.894 90.00 90.00 90.00
Positions (direct):
Pd (0.250, 0.250, 0.082)
Pd (0.750, 0.750, 0.918)
Se (0.250, 0.250, 0.828)
Se (0.250, 0.750, 0.500)
Se (0.750, 0.250, 0.500)
Se (0.750, 0.750, 0.172)

Values from the calculation:
Its space group is No. 129. As for the total energy: -4.059 eV per atom. The calculated density comes out at 6.87 g cm⁻³.


[12]
Here is crystalline Pd34Se11 at its relaxed geometry from OQMD. Energies are from PBE.

Lattice parameters (Å, degrees): 12.198 5.561 23.009 90.00 112.01 90.00
Positions (direct):
Pd (0.016, 0.144, 0.207)
Pd (0.016, 0.356, 0.707)
Pd (0.042, 0.187, 0.905)
Pd (0.042, 0.313, 0.405)
Pd (0.077, 0.184, 0.605)
Pd (0.077, 0.316, 0.105)
Pd (0.114, 0.609, 0.521)
Pd (0.114, 0.891, 0.021)
Pd (0.128, 0.649, 0.214)
Pd (0.128, 0.851, 0.714)
Pd (0.164, 0.701, 0.916)
Pd (0.164, 0.799, 0.416)
Pd (0.207, 0.123, 0.522)
Pd (0.207, 0.377, 0.022)
Pd (0.211, 0.090, 0.835)
Pd (0.211, 0.410, 0.335)
Pd (0.260, 0.203, 0.226)
Pd (0.260, 0.297, 0.726)
Pd (0.278, 0.608, 0.826)
Pd (0.278, 0.892, 0.326)
Pd (0.303, 0.574, 0.145)
Pd (0.303, 0.926, 0.645)
Pd (0.355, 0.087, 0.130)
Pd (0.355, 0.413, 0.630)
Pd (0.357, 0.720, 0.534)
Pd (0.357, 0.780, 0.034)
Pd (0.390, 0.072, 0.450)
Pd (0.390, 0.428, 0.950)
Pd (0.437, 0.579, 0.434)
Pd (0.437, 0.921, 0.934)
Pd (0.453, 0.248, 0.845)
Pd (0.453, 0.252, 0.345)
Pd (0.476, 0.579, 0.757)
Pd (0.476, 0.921, 0.257)
Pd (0.524, 0.079, 0.743)
Pd (0.524, 0.421, 0.243)
Pd (0.547, 0.748, 0.655)
Pd (0.547, 0.752, 0.155)
Pd (0.563, 0.079, 0.066)
Pd (0.563, 0.421, 0.566)
Pd (0.610, 0.572, 0.050)
Pd (0.610, 0.928, 0.550)
Pd (0.643, 0.220, 0.966)
Pd (0.643, 0.280, 0.466)
Pd (0.645, 0.587, 0.370)
Pd (0.645, 0.913, 0.870)
Pd (0.697, 0.074, 0.355)
Pd (0.697, 0.426, 0.855)
Pd (0.722, 0.108, 0.674)
Pd (0.722, 0.392, 0.174)
Pd (0.740, 0.703, 0.274)
Pd (0.740, 0.797, 0.774)
Pd (0.789, 0.590, 0.665)
Pd (0.789, 0.910, 0.165)
Pd (0.793, 0.623, 0.978)
Pd (0.793, 0.877, 0.478)
Pd (0.836, 0.201, 0.584)
Pd (0.836, 0.299, 0.084)
Pd (0.872, 0.149, 0.286)
Pd (0.872, 0.351, 0.786)
Pd (0.886, 0.109, 0.979)
Pd (0.886, 0.391, 0.479)
Pd (0.923, 0.684, 0.895)
Pd (0.923, 0.816, 0.395)
Pd (0.958, 0.687, 0.595)
Pd (0.958, 0.813, 0.095)
Pd (0.984, 0.644, 0.293)
Pd (0.984, 0.856, 0.793)
Se (0.000, 0.000, 0.500)
Se (0.000, 0.500, 0.000)
Se (0.086, 0.050, 0.321)
Se (0.086, 0.450, 0.821)
Se (0.175, 0.580, 0.639)
Se (0.175, 0.920, 0.139)
Se (0.265, 0.089, 0.955)
Se (0.265, 0.411, 0.455)
Se (0.359, 0.587, 0.273)
Se (0.359, 0.913, 0.773)
Se (0.449, 0.092, 0.589)
Se (0.449, 0.408, 0.089)
Se (0.551, 0.592, 0.911)
Se (0.551, 0.908, 0.411)
Se (0.641, 0.087, 0.227)
Se (0.641, 0.413, 0.727)
Se (0.735, 0.589, 0.545)
Se (0.735, 0.911, 0.045)
Se (0.825, 0.080, 0.861)
Se (0.825, 0.420, 0.361)
Se (0.914, 0.550, 0.179)
Se (0.914, 0.950, 0.679)

Values from the calculation:
Its space group is No. 14. As for the total energy: -4.932 eV per atom. The calculated density comes out at 10.30 g cm⁻³.


[13]
Here is crystalline PdSe2 at its relaxed geometry from OQMD. Energies are from PBE.

Lattice parameters (Å, degrees): 4.431 4.431 4.431 60.00 60.00 60.00
Positions (direct):
Pd (0.000, 0.000, 0.000)
Se (0.250, 0.250, 0.250)
Se (0.750, 0.750, 0.750)

Values from the calculation:
Its space group is No. 225. As for the total energy: -4.062 eV per atom. The calculated density comes out at 7.14 g cm⁻³.


[14]
Here is crystalline Pd5Se4 at its relaxed geometry from OQMD. Energies are from PBE.

Lattice parameters (Å, degrees): 6.695 4.669 11.210 90.00 101.77 90.00
Positions (direct):
Pd (0.000, 0.000, 0.000)
Pd (0.000, 0.500, 0.500)
Pd (0.225, 0.165, 0.678)
Pd (0.225, 0.335, 0.178)
Pd (0.330, 0.669, 0.002)
Pd (0.330, 0.831, 0.502)
Pd (0.670, 0.169, 0.498)
Pd (0.670, 0.331, 0.998)
Pd (0.775, 0.665, 0.822)
Pd (0.775, 0.835, 0.322)
Se (0.085, 0.135, 0.363)
Se (0.085, 0.365, 0.863)
Se (0.487, 0.540, 0.356)
Se (0.487, 0.960, 0.856)
Se (0.513, 0.040, 0.144)
Se (0.513, 0.460, 0.644)
Se (0.915, 0.635, 0.137)
Se (0.915, 0.865, 0.637)

Values from the calculation:
Its space group is No. 14. As for the total energy: -4.712 eV per atom. The calculated density comes out at 8.21 g cm⁻³.


[15]
Here is crystalline SnPdSe4 at its relaxed geometry from OQMD. Energies are from PBE.

Lattice parameters (Å, degrees): 3.845 6.155 6.579 80.80 90.00 73.67
Positions (direct):
Sn (0.000, 0.000, 0.000)
Pd (0.500, 0.000, 0.500)
Se (0.107, 0.762, 0.390)
Se (0.383, 0.260, 0.149)
Se (0.617, 0.740, 0.851)
Se (0.893, 0.238, 0.610)

Values from the calculation:
Its space group is No. 2. As for the total energy: -4.168 eV per atom. The calculated density comes out at 6.10 g cm⁻³.


[16]
Here is crystalline Sn2PdSe at its relaxed geometry from OQMD. Energies are from PBE.

Lattice parameters (Å, degrees): 4.039 4.073 11.424 90.00 90.00 90.00
Positions (direct):
Sn (0.000, 0.009, 0.000)
Sn (0.000, 0.991, 0.500)
Sn (0.500, 0.480, 0.746)
Sn (0.500, 0.520, 0.246)
Pd (0.500, 0.494, 0.497)
Pd (0.500, 0.506, 0.997)
Se (0.000, 0.022, 0.250)
Se (0.000, 0.978, 0.750)

Values from the calculation:
Its space group is No. 26. As for the total energy: -4.485 eV per atom. The calculated density comes out at 7.47 g cm⁻³.


[17]
Here is crystalline Sn2PdSe at its relaxed geometry from OQMD. Energies are from PBE.

Lattice parameters (Å, degrees): 3.892 12.466 3.903 90.00 90.00 90.00
Positions (direct):
Sn (0.000, 0.090, 0.000)
Sn (0.000, 0.652, 0.116)
Sn (0.500, 0.348, 0.616)
Sn (0.500, 0.910, 0.500)
Pd (0.000, 0.867, 0.004)
Pd (0.500, 0.133, 0.504)
Se (0.000, 0.414, 0.098)
Se (0.500, 0.586, 0.598)

Values from the calculation:
Its space group is No. 31. As for the total energy: -4.508 eV per atom. The calculated density comes out at 7.42 g cm⁻³.


[18]
Here is crystalline Sn8Pd2Se at its relaxed geometry from OQMD. Energies are from PBE.

Lattice parameters (Å, degrees): 10.367 10.367 10.400 90.00 90.00 90.00
Positions (direct):
Sn (0.000, 0.000, 0.206)
Sn (0.000, 0.000, 0.794)
Sn (0.035, 0.298, 0.319)
Sn (0.035, 0.298, 0.681)
Sn (0.104, 0.896, 0.500)
Sn (0.159, 0.841, 0.000)
Sn (0.161, 0.161, 0.000)
Sn (0.202, 0.535, 0.181)
Sn (0.202, 0.535, 0.819)
Sn (0.298, 0.035, 0.319)
Sn (0.298, 0.035, 0.681)
Sn (0.339, 0.661, 0.500)
Sn (0.341, 0.341, 0.500)
Sn (0.396, 0.396, 0.000)
Sn (0.465, 0.798, 0.181)
Sn (0.465, 0.798, 0.819)
Sn (0.500, 0.500, 0.294)
Sn (0.500, 0.500, 0.706)
Sn (0.535, 0.202, 0.181)
Sn (0.535, 0.202, 0.819)
Sn (0.604, 0.604, 0.000)
Sn (0.659, 0.659, 0.500)
Sn (0.661, 0.339, 0.500)
Sn (0.702, 0.965, 0.319)
Sn (0.702, 0.965, 0.681)
Sn (0.798, 0.465, 0.181)
Sn (0.798, 0.465, 0.819)
Sn (0.839, 0.839, 0.000)
Sn (0.841, 0.159, 0.000)
Sn (0.896, 0.104, 0.500)
Sn (0.965, 0.702, 0.319)
Sn (0.965, 0.702, 0.681)
Pd (0.219, 0.781, 0.266)
Pd (0.219, 0.781, 0.734)
Pd (0.281, 0.281, 0.234)
Pd (0.281, 0.281, 0.766)
Pd (0.719, 0.719, 0.234)
Pd (0.719, 0.719, 0.766)
Pd (0.781, 0.219, 0.266)
Pd (0.781, 0.219, 0.734)
Se (0.000, 0.500, 0.000)
Se (0.000, 0.500, 0.500)
Se (0.500, 0.000, 0.000)
Se (0.500, 0.000, 0.500)

Values from the calculation:
Its space group is No. 136. As for the total energy: -4.306 eV per atom. The calculated density comes out at 7.38 g cm⁻³.